Material: LiZrTe2I
Method: DFT, PBEsol
State: optimized geometry

Cell lengths 5.567, 5.567, 5.763 Å; angles 90.00, 90.00, 90.00 degrees
Fractional coordinates of all 5 atoms:
Li (0.000, 0.000, 0.000)
Zr (0.500, 0.500, 0.500)
Te (0.000, 0.500, 0.500)
Te (0.500, 0.000, 0.500)
I (0.500, 0.500, 0.000)

Summary:
Energy (eV/atom): -4.4885
N(E_F) (states/eV/f.u.): 1.493
E_form (uncorrected) (eV/atom): -0.51
Crystal system: tetragonal